# 1
# PBE-GGA Li3FeB, optimized geometry
data_Li3FeB
_chemical_formula_sum 'Li3 Fe1 B1'
_cell_length_a 4.4572
_cell_length_b 4.4572
_cell_length_c 4.4572
_cell_angle_alpha 90.00
_cell_angle_beta 90.00
_cell_angle_gamma 90.00
_symmetry_space_group_name_H-M 'P m -3 m'
_symmetry_Int_Tables_number 221
_symmetry_space_group_name_Hall '-P 4 2 3'
loop_
_atom_site_label
_atom_site_type_symbol
_atom_site_fract_x
_atom_site_fract_y
_atom_site_fract_z
Li1 Li 0.0000 0.0000 0.5000
Fe1 Fe 0.0000 0.0000 0.0000
B1 B 0.5000 0.5000 0.5000
# - Energy above the most stable polymorph in this dataset: 0.4592 eV per atom
# - Crystal system: cubic
# - Total DFT energy (no corrections): -13.166 eV/cell
# - Total magnetization: 0.48 μB/atom

=====

# 2
# PBE-GGA Li2Fe2B, optimized geometry
data_Li2Fe2B
_chemical_formula_sum 'Li4 Fe4 B2'
_cell_length_a 5.1038
_cell_length_b 5.1038
_cell_length_c 4.3314
_cell_angle_alpha 90.00
_cell_angle_beta 90.00
_cell_angle_gamma 90.00
_symmetry_space_group_name_H-M 'P 4/m b m'
_symmetry_Int_Tables_number 127
_symmetry_space_group_name_Hall '-P 4 2ab'
loop_
_atom_site_label
_atom_site_type_symbol
_atom_site_fract_x
_atom_site_fract_y
_atom_site_fract_z
Li1 Li 0.1743 0.3257 0.0000
Fe1 Fe 0.1487 0.6487 0.5000
B1 B 0.0000 0.0000 0.5000
# - Crystal system: tetragonal
# - Total DFT energy (no corrections): -53.065 eV/cell
# - Total magnetization: 0.00 μB/atom

=====

# 3
# PBE-GGA LiFe3B, optimized geometry
data_LiFe3B
_chemical_formula_sum 'Li1 Fe3 B1'
_cell_length_a 3.8618
_cell_length_b 3.8618
_cell_length_c 3.8618
_cell_angle_alpha 90.00
_cell_angle_beta 90.00
_cell_angle_gamma 90.00
_symmetry_space_group_name_H-M 'P m -3 m'
_symmetry_Int_Tables_number 221
_symmetry_space_group_name_Hall '-P 4 2 3'
loop_
_atom_site_label
_atom_site_type_symbol
_atom_site_fract_x
_atom_site_fract_y
_atom_site_fract_z
Li1 Li 0.0000 0.0000 0.0000
Fe1 Fe 0.0000 0.5000 0.5000
B1 B 0.5000 0.5000 0.5000
# - Energy above the most stable polymorph in this dataset: 0.0000 eV per atom
# - Crystal system: cubic
# - Total DFT energy (no corrections): -33.159 eV/cell
# - Total magnetization: 1.20 μB/atom

=====

# 4
# PBE-GGA Li3FeB, optimized geometry
data_Li3FeB
_chemical_formula_sum 'Li3 Fe1 B1'
_cell_length_a 4.0387
_cell_length_b 4.0387
_cell_length_c 4.0387
_cell_angle_alpha 90.00
_cell_angle_beta 90.00
_cell_angle_gamma 90.00
_symmetry_space_group_name_H-M 'P m -3 m'
_symmetry_Int_Tables_number 221
_symmetry_space_group_name_Hall '-P 4 2 3'
loop_
_atom_site_label
_atom_site_type_symbol
_atom_site_fract_x
_atom_site_fract_y
_atom_site_fract_z
Li1 Li 0.0000 0.0000 0.5000
Fe1 Fe 0.5000 0.5000 0.5000
B1 B 0.0000 0.0000 0.0000
# - Energy above the most stable polymorph in this dataset: 0.0000 eV per atom
# - Crystal system: cubic
# - Total DFT energy (no corrections): -15.462 eV/cell
# - Total magnetization: 0.00 μB/atom

=====

# 5
# PBE-GGA Li2Fe4B, optimized geometry
data_Li2Fe4B
_chemical_formula_sum 'Li4 Fe8 B2'
_cell_length_a 3.7901
_cell_length_b 3.7901
_cell_length_c 12.6051
_cell_angle_alpha 90.00
_cell_angle_beta 90.00
_cell_angle_gamma 90.00
_symmetry_space_group_name_H-M 'I 4/m m m'
_symmetry_Int_Tables_number 139
_symmetry_space_group_name_Hall '-I 4 2'
loop_
_atom_site_label
_atom_site_type_symbol
_atom_site_fract_x
_atom_site_fract_y
_atom_site_fract_z
Li1 Li 0.0000 0.0000 0.1411
Fe1 Fe 0.0000 0.0000 0.3435
Fe2 Fe 0.0000 0.5000 0.0000
B1 B 0.0000 0.0000 0.5000
# - Crystal system: tetragonal
# - Total DFT energy (no corrections): -82.687 eV/cell
# - Total magnetization: 1.28 μB/atom

=====

# 6
# PBE-GGA LiFeB4, optimized geometry
data_LiFeB4
_chemical_formula_sum 'Li4 Fe4 B16'
_cell_length_a 5.3872
_cell_length_b 5.3872
_cell_length_c 5.3872
_cell_angle_alpha 90.00
_cell_angle_beta 90.00
_cell_angle_gamma 90.00
_symmetry_space_group_name_H-M 'F -4 3 m'
_symmetry_Int_Tables_number 216
_symmetry_space_group_name_Hall 'F -4 2 3'
loop_
_atom_site_label
_atom_site_type_symbol
_atom_site_fract_x
_atom_site_fract_y
_atom_site_fract_z
Li1 Li 0.0000 0.0000 0.0000
Fe1 Fe 0.2500 0.2500 0.7500
B1 B 0.1258 0.1258 0.3742
# - Energy above the most stable polymorph in this dataset: 0.0000 eV per atom
# - Crystal system: cubic
# - Total DFT energy (no corrections): -148.397 eV/cell
# - Total magnetization: 0.00 μB/atom

=====

# 7
# PBE-GGA LiFe2B, optimized geometry
data_LiFe2B
_chemical_formula_sum 'Li4 Fe8 B4'
_cell_length_a 5.2231
_cell_length_b 5.2231
_cell_length_c 5.2231
_cell_angle_alpha 90.00
_cell_angle_beta 90.00
_cell_angle_gamma 90.00
_symmetry_space_group_name_H-M 'F m -3 m'
_symmetry_Int_Tables_number 225
_symmetry_space_group_name_Hall '-F 4 2 3'
loop_
_atom_site_label
_atom_site_type_symbol
_atom_site_fract_x
_atom_site_fract_y
_atom_site_fract_z
Li1 Li 0.0000 0.0000 0.0000
Fe1 Fe 0.2500 0.2500 0.2500
B1 B 0.0000 0.0000 0.5000
# - Energy above the most stable polymorph in this dataset: 0.0000 eV per atom
# - Crystal system: cubic
# - Total DFT energy (no corrections): -99.494 eV/cell
# - Total magnetization: 0.86 μB/atom

=====

# 8
# PBE-GGA LiFe2B, optimized geometry
data_LiFe2B
_chemical_formula_sum 'Li4 Fe8 B4'
_cell_length_a 3.3710
_cell_length_b 3.3710
_cell_length_c 15.1121
_cell_angle_alpha 90.00
_cell_angle_beta 90.00
_cell_angle_gamma 90.00
_symmetry_space_group_name_H-M 'I -4 2 d'
_symmetry_Int_Tables_number 122
_symmetry_space_group_name_Hall 'I -4 2bw'
loop_
_atom_site_label
_atom_site_type_symbol
_atom_site_fract_x
_atom_site_fract_y
_atom_site_fract_z
Li1 Li 0.0000 0.0000 0.0000
Fe1 Fe 0.2180 0.2500 0.6250
B1 B 0.0000 0.0000 0.5000
# - Energy above the most stable polymorph in this dataset: 0.4707 eV per atom
# - Crystal system: tetragonal
# - Total DFT energy (no corrections): -91.963 eV/cell
# - Total magnetization: 0.95 μB/atom

=====

# 9
# PBE-GGA LiFeB3, optimized geometry
data_LiFeB3
_chemical_formula_sum 'Li1 Fe1 B3'
_cell_length_a 3.7480
_cell_length_b 3.7480
_cell_length_c 3.7480
_cell_angle_alpha 90.00
_cell_angle_beta 90.00
_cell_angle_gamma 90.00
_symmetry_space_group_name_H-M 'P m -3 m'
_symmetry_Int_Tables_number 221
_symmetry_space_group_name_Hall '-P 4 2 3'
loop_
_atom_site_label
_atom_site_type_symbol
_atom_site_fract_x
_atom_site_fract_y
_atom_site_fract_z
Li1 Li 0.0000 0.0000 0.0000
Fe1 Fe 0.5000 0.5000 0.5000
B1 B 0.0000 0.5000 0.5000
# - Energy above the most stable polymorph in this dataset: 0.0000 eV per atom
# - Crystal system: cubic
# - Total DFT energy (no corrections): -28.469 eV/cell
# - Total magnetization: 0.00 μB/atom

=====

# 10
# PBE-GGA LiFeB4, optimized geometry
data_LiFeB4
_chemical_formula_sum 'Li2 Fe2 B8'
_cell_length_a 2.9740
_cell_length_b 3.2492
_cell_length_c 9.4905
_cell_angle_alpha 90.00
_cell_angle_beta 90.00
_cell_angle_gamma 90.00
_symmetry_space_group_name_H-M 'I m m 2'
_symmetry_Int_Tables_number 44
loop_
_symmetry_equiv_pos_as_xyz
'x,y,z'
'-x,-y,z'
'-x,y,z'
'x,-y,z'
'x+1/2,y+1/2,z+1/2'
'-x+1/2,-y+1/2,z+1/2'
'-x+1/2,y+1/2,z+1/2'
'x+1/2,-y+1/2,z+1/2'
loop_
_atom_site_label
_atom_site_type_symbol
_atom_site_fract_x
_atom_site_fract_y
_atom_site_fract_z
Li1 Li 0.0000 0.0000 0.0000
Fe1 Fe 0.0000 0.5000 0.2851
B1 B 0.0000 0.0000 0.4364
B2 B 0.0000 0.2472 0.6464
B3 B 0.0000 0.5000 0.8442
# - Energy above the most stable polymorph in this dataset: 0.0739 eV per atom
# - Crystal system: orthorhombic
# - Total DFT energy (no corrections): -73.311 eV/cell
# - Total magnetization: 0.14 μB/atom